This record from the Alexandria database describes ZrSiRh2 after structural relaxation. The functional is PBE.

abc: 2.931 2.931 7.080
angles: 90.00 90.00 90.02
Fractional coordinates of all 4 atoms:
Rh: 0.000 0.000 0.452
Rh: 0.000 0.000 0.048
Zr: 0.500 0.500 0.750
Si: 0.500 0.500 0.250

As for the space group: P4/mmm, No. 123. As for the uncorrected formation energy: -0.80 eV/atom.

This record from the Alexandria database describes Pm2Nd5Tm2 after structural relaxation. The functional is PBE.

abc: 6.295 6.297 14.064
angles: 58.49 132.21 131.80
Fractional coordinates of all 9 atoms:
Nd: 0.000 0.000 0.000
Nd: 0.778 0.667 0.445
Nd: 0.222 0.333 0.555
Nd: 0.444 0.667 0.111
Nd: 0.556 0.333 0.889
Tm: 0.890 0.333 0.223
Tm: 0.110 0.667 0.777
Pm: 0.330 0.001 0.331
Pm: 0.670 0.999 0.669

The value obtained for the energy of formation is 0.017 eV per atom. The energy above the most stable polymorph in this dataset is 0 meV/atom. As for the space group: C2/m, No. 12.

This record from the Alexandria database describes AlV8N2 after structural relaxation. The functional is PBE.

abc: 4.244 7.081 7.081
angles: 41.29 72.58 72.58
Fractional coordinates of all 11 atoms:
Al: 0.000 0.000 0.000
V: 0.221 0.779 0.779
V: 0.598 0.661 0.144
V: 0.779 0.221 0.221
V: 0.402 0.339 0.856
V: 0.598 0.144 0.661
V: 0.885 0.615 0.615
V: 0.402 0.856 0.339
V: 0.115 0.385 0.385
N: 0.270 0.230 0.230
N: 0.730 0.770 0.770

As for the space group: Immm, No. 71. As for the uncorrected formation energy: -0.24 eV/atom.